# LiZrAgTe3 PBE-GGA relaxed
data_LiZrAgTe3
_cell_length_a 8.051
_cell_length_b 4.100
_cell_length_c 10.018
_cell_angle_alpha 90.00
_cell_angle_beta 103.78
_cell_angle_gamma 90.00
_symmetry_space_group_name_H-M 'P 1 21/m 1'
_symmetry_Int_Tables_number 11
_symmetry_space_group_name_Hall '-P 2yb'
loop_
_atom_site_label
_atom_site_type_symbol
_atom_site_fract_x
_atom_site_fract_y
_atom_site_fract_z
Li1 Li 0.238 0.250 0.202
Zr1 Zr 0.190 0.750 0.682
Ag1 Ag 0.416 0.250 0.906
Te1 Te 0.085 0.750 0.365
Te2 Te 0.204 0.750 0.973
Te3 Te 0.426 0.250 0.635
# Final energy: -26.84 eV per formula unit
# Energy above the lowest structure with this stoichiometry: 0.000 eV per atom


# LiZr2AgTe4 PBE-GGA relaxed
data_LiZr2AgTe4
_cell_length_a 6.633
_cell_length_b 6.633
_cell_length_c 12.386
_cell_angle_alpha 90.00
_cell_angle_beta 90.00
_cell_angle_gamma 90.00
_symmetry_space_group_name_H-M 'I -4'
_symmetry_Int_Tables_number 82
_symmetry_space_group_name_Hall 'I -4'
loop_
_atom_site_label
_atom_site_type_symbol
_atom_site_fract_x
_atom_site_fract_y
_atom_site_fract_z
Li1 Li 0.000 0.000 0.000
Zr1 Zr 0.000 0.000 0.500
Zr2 Zr 0.000 0.500 0.750
Ag1 Ag 0.000 0.500 0.250
Te1 Te 0.246 0.247 0.123
# Final energy: -38.01 eV per formula unit


# LiZrAg3Te4 PBE-GGA relaxed
data_LiZrAg3Te4
_cell_length_a 6.589
_cell_length_b 8.911
_cell_length_c 9.099
_cell_angle_alpha 90.00
_cell_angle_beta 94.11
_cell_angle_gamma 90.00
_symmetry_space_group_name_H-M 'P 1 21/m 1'
_symmetry_Int_Tables_number 11
_symmetry_space_group_name_Hall '-P 2yb'
loop_
_atom_site_label
_atom_site_type_symbol
_atom_site_fract_x
_atom_site_fract_y
_atom_site_fract_z
Li1 Li 0.231 0.250 0.302
Zr1 Zr 0.258 0.750 0.246
Ag1 Ag 0.228 0.250 0.761
Ag2 Ag 0.282 0.006 0.993
Te1 Te 0.016 0.750 0.976
Te2 Te 0.048 0.750 0.487
Te3 Te 0.493 0.505 0.727
# Final energy: -35.58 eV per formula unit
# Energy above the lowest structure with this stoichiometry: 0.079 eV per atom


# LiZrAg3Te4 PBE-GGA relaxed
data_LiZrAg3Te4
_cell_length_a 6.521
_cell_length_b 6.521
_cell_length_c 6.521
_cell_angle_alpha 90.00
_cell_angle_beta 90.00
_cell_angle_gamma 90.00
_symmetry_space_group_name_H-M 'P -4 3 m'
_symmetry_Int_Tables_number 215
_symmetry_space_group_name_Hall 'P -4 2 3'
loop_
_atom_site_label
_atom_site_type_symbol
_atom_site_fract_x
_atom_site_fract_y
_atom_site_fract_z
Li1 Li 0.000 0.000 0.000
Zr1 Zr 0.500 0.500 0.500
Ag1 Ag 0.000 0.500 0.500
Te1 Te 0.252 0.252 0.252
# Final energy: -36.30 eV per formula unit
# Energy above the lowest structure with this stoichiometry: 0.000 eV per atom


# LiTlAg PBE-GGA relaxed
data_LiTlAg
_cell_length_a 6.586
_cell_length_b 6.586
_cell_length_c 6.586
_cell_angle_alpha 90.00
_cell_angle_beta 90.00
_cell_angle_gamma 90.00
_symmetry_space_group_name_H-M 'F -4 3 m'
_symmetry_Int_Tables_number 216
_symmetry_space_group_name_Hall 'F -4 2 3'
loop_
_atom_site_label
_atom_site_type_symbol
_atom_site_fract_x
_atom_site_fract_y
_atom_site_fract_z
Li1 Li 0.000 0.000 0.000
Tl1 Tl 0.000 0.000 0.500
Ag1 Ag 0.250 0.250 0.250
# Final energy: -7.12 eV per formula unit
# Energy above the lowest structure with this stoichiometry: 0.000 eV per atom


# Li2TlAg PBE-GGA relaxed
data_Li2TlAg
_cell_length_a 4.5195
_cell_length_b 4.5195
_cell_length_c 8.5058
_cell_angle_alpha 90.00
_cell_angle_beta 90.00
_cell_angle_gamma 120.00
_symmetry_space_group_name_H-M 'P 63/m m c'
_symmetry_Int_Tables_number 194
_symmetry_space_group_name_Hall '-P 6c 2c'
loop_
_atom_site_label
_atom_site_type_symbol
_atom_site_fract_x
_atom_site_fract_y
_atom_site_fract_z
Li1 Li 0.3333 0.6667 0.0844
Tl1 Tl 0.3333 0.6667 0.7500
Ag1 Ag 0.0000 0.0000 0.0000
# Final energy: -9.42 eV per formula unit


# Li2TlAg PBE-GGA relaxed
data_Li2TlAg
_cell_length_a 4.633
_cell_length_b 4.633
_cell_length_c 6.569
_cell_angle_alpha 90.00
_cell_angle_beta 90.00
_cell_angle_gamma 90.00
_symmetry_space_group_name_H-M 'I 4/m m m'
_symmetry_Int_Tables_number 139
_symmetry_space_group_name_Hall '-I 4 2'
loop_
_atom_site_label
_atom_site_type_symbol
_atom_site_fract_x
_atom_site_fract_y
_atom_site_fract_z
Li1 Li 0.000 0.500 0.250
Tl1 Tl 0.000 0.000 0.000
Ag1 Ag 0.000 0.000 0.500
# Final energy: -9.92 eV per formula unit


# Li2TlAg PBE-GGA relaxed
data_Li2TlAg
_cell_length_a 4.8372
_cell_length_b 4.8372
_cell_length_c 7.9306
_cell_angle_alpha 90.00
_cell_angle_beta 90.00
_cell_angle_gamma 120.00
_symmetry_space_group_name_H-M 'P 63/m m c'
_symmetry_Int_Tables_number 194
_symmetry_space_group_name_Hall '-P 6c 2c'
loop_
_atom_site_label
_atom_site_type_symbol
_atom_site_fract_x
_atom_site_fract_y
_atom_site_fract_z
Li1 Li 0.3333 0.6667 0.0844
Tl1 Tl 0.0000 0.0000 0.2500
Ag1 Ag 0.3333 0.6667 0.7500
# Final energy: -9.59 eV per formula unit